Density functional theory data (PBE) for a geometry-optimized Al2TlBPt structure.

Unit cell a=4.964 b=4.092 c=4.964 alpha=90.00 beta=90.00 gamma=90.00
Atoms (fractional coordinates):
Tl: 0.500 0.500 0.500
B: 0.000 0.500 0.000
Al: 0.000 0.000 0.500
Al: 0.500 0.000 0.000
Pt: 0.000 0.000 0.000

Output
E_tot: -4.335 eV per atom
symmetry: P4/mmm (123)
DOS(E_F): 2.77 states/eV/f.u.

Density functional theory data (PBE) for a geometry-optimized AlZn2B2Pt5 structure.

Unit cell a=2.762 b=10.032 c=10.032 alpha=90.00 beta=90.00 gamma=90.00
Atoms (fractional coordinates):
Al: 0.000 0.000 0.000
Al: 0.000 0.500 0.500
Zn: 0.000 0.663 0.163
Zn: 0.000 0.337 0.837
Zn: 0.000 0.163 0.337
Zn: 0.000 0.837 0.663
B: 0.000 0.130 0.630
B: 0.000 0.870 0.370
B: 0.000 0.630 0.870
B: 0.000 0.370 0.130
Pt: 0.500 0.195 0.107
Pt: 0.500 0.805 0.893
Pt: 0.500 0.107 0.805
Pt: 0.500 0.695 0.393
Pt: 0.500 0.893 0.195
Pt: 0.500 0.305 0.607
Pt: 0.500 0.607 0.695
Pt: 0.500 0.393 0.305
Pt: 0.500 0.500 0.000
Pt: 0.500 0.000 0.500

Output
E_tot: -5.359 eV per atom
symmetry: P4/mbm (127)
DOS(E_F): 3.03 states/eV/f.u.

Density functional theory data (PBE) for a geometry-optimized PuAlB4 structure.

Unit cell a=3.587 b=5.946 c=11.528 alpha=90.00 beta=90.00 gamma=90.00
Each line ends with the local moment (μB).
Atoms (fractional coordinates):
Pu: 0.000 0.630 0.350  4.81
Pu: 0.000 0.370 0.650  4.81
Pu: 0.000 0.130 0.150  4.81
Pu: 0.000 0.870 0.850  4.81
Al: 0.000 0.639 0.091  0.00
Al: 0.000 0.361 0.909  0.00
Al: 0.000 0.139 0.409  0.00
Al: 0.000 0.861 0.591  0.00
B: 0.500 0.790 0.188  -0.03
B: 0.500 0.210 0.812  -0.03
B: 0.500 0.290 0.312  -0.03
B: 0.500 0.710 0.688  -0.03
B: 0.500 0.867 0.031  -0.04
B: 0.500 0.133 0.969  -0.04
B: 0.500 0.367 0.469  -0.04
B: 0.500 0.633 0.531  -0.04
B: 0.500 0.886 0.453  0.00
B: 0.500 0.114 0.547  0.00
B: 0.500 0.386 0.047  0.00
B: 0.500 0.614 0.953  0.00
B: 0.500 0.973 0.307  -0.04
B: 0.500 0.027 0.693  -0.04
B: 0.500 0.473 0.193  -0.04
B: 0.500 0.527 0.807  -0.04

Output
E_tot: -7.882 eV per atom
symmetry: Pbam (55)
DOS(E_F): 6.43 states/eV/f.u.

Density functional theory data (PBE) for a geometry-optimized Pu2AlB2Rh5 structure.

Unit cell a=3.151 b=9.630 c=9.630 alpha=90.00 beta=90.00 gamma=90.00
Each line ends with the local moment (μB).
Atoms (fractional coordinates):
Pu: 0.000 0.677 0.177  4.89
Pu: 0.000 0.323 0.823  4.89
Pu: 0.000 0.177 0.323  4.89
Pu: 0.000 0.823 0.677  4.89
Al: 0.000 0.000 0.000  -0.01
Al: 0.000 0.500 0.500  -0.01
B: 0.000 0.122 0.622  -0.02
B: 0.000 0.878 0.378  -0.02
B: 0.000 0.622 0.878  -0.02
B: 0.000 0.378 0.122  -0.02
Rh: 0.500 0.220 0.068  -0.06
Rh: 0.500 0.780 0.932  -0.06
Rh: 0.500 0.068 0.780  -0.06
Rh: 0.500 0.720 0.432  -0.06
Rh: 0.500 0.932 0.220  -0.06
Rh: 0.500 0.280 0.568  -0.06
Rh: 0.500 0.568 0.720  -0.06
Rh: 0.500 0.432 0.280  -0.06
Rh: 0.500 0.500 0.000  -0.07
Rh: 0.500 0.000 0.500  -0.07

Output
E_tot: -8.865 eV per atom
symmetry: P4/mbm (127)
DOS(E_F): 22.84 states/eV/f.u.

DOS(E_F) of number 3 (PuAlB4)? 6.43 states/eV/f.u.

Look up the DOS(E_F) of the first one. 2.77 states/eV/f.u.